Arrangement 1

Crystalline KNp2F9 at its relaxed geometry. Source: Alexandria, functional GGA-PBE.

Space-group type: P6/mmm, No. 191
DOS(E_F) (states/eV/cell): 15.85

Cell lengths 3.606, 7.800, 7.800 Å; angles 120.00, 90.00, 90.00 degrees
Each line ends with the local moment (μB).
Fractional coordinates of all 12 atoms:
F (0.500, 0.558, 0.779)  -0.01
F (0.000, 0.500, 0.500)  -0.01
F (0.500, 0.779, 0.221)  -0.01
F (0.500, 0.221, 0.442)  -0.01
F (0.000, 0.000, 0.500)  -0.01
F (0.500, 0.221, 0.779)  -0.01
F (0.000, 0.500, 0.000)  -0.01
F (0.500, 0.442, 0.221)  -0.01
F (0.500, 0.779, 0.558)  -0.01
K (0.000, 0.000, 0.000)  0.00
Np (0.000, 0.667, 0.333)  3.02
Np (0.000, 0.333, 0.667)  3.02


Arrangement 2

Crystalline KNp2F9 at its relaxed geometry. Source: Alexandria, functional GGA-PBE.

Space-group type: Pnma, No. 62
DOS(E_F) (states/eV/cell): 36.79

Cell lengths 6.988, 8.728, 11.580 Å; angles 90.00, 90.00, 90.00 degrees
Each line ends with the local moment (μB).
Fractional coordinates of all 48 atoms:
F (0.572, 0.494, 0.099)  -0.01
F (0.806, 0.568, 0.577)  -0.02
F (0.156, 0.172, 0.250)  -0.02
F (0.352, 0.216, 0.894)  -0.01
F (0.148, 0.716, 0.894)  -0.01
F (0.656, 0.328, 0.750)  -0.02
F (0.072, 0.006, 0.901)  -0.01
F (0.344, 0.672, 0.250)  -0.02
F (0.352, 0.216, 0.606)  -0.01
F (0.648, 0.784, 0.394)  -0.01
F (0.694, 0.068, 0.923)  -0.02
F (0.194, 0.432, 0.077)  -0.02
F (0.970, 0.292, 0.597)  -0.01
F (0.572, 0.494, 0.401)  -0.01
F (0.852, 0.284, 0.394)  -0.01
F (0.928, 0.994, 0.401)  -0.01
F (0.428, 0.506, 0.599)  -0.01
F (0.970, 0.292, 0.903)  -0.01
F (0.072, 0.006, 0.599)  -0.01
F (0.428, 0.506, 0.901)  -0.01
F (0.844, 0.828, 0.750)  -0.02
F (0.306, 0.932, 0.423)  -0.02
F (0.470, 0.208, 0.097)  -0.01
F (0.030, 0.708, 0.097)  -0.01
F (0.148, 0.716, 0.606)  -0.01
F (0.194, 0.432, 0.423)  -0.02
F (0.530, 0.792, 0.903)  -0.01
F (0.928, 0.994, 0.099)  -0.01
F (0.648, 0.784, 0.106)  -0.01
F (0.694, 0.068, 0.577)  -0.02
F (0.806, 0.568, 0.923)  -0.02
F (0.030, 0.708, 0.403)  -0.01
F (0.530, 0.792, 0.597)  -0.01
F (0.306, 0.932, 0.077)  -0.02
F (0.470, 0.208, 0.403)  -0.01
F (0.852, 0.284, 0.106)  -0.01
K (0.146, 0.466, 0.750)  0.00
K (0.354, 0.966, 0.750)  0.00
K (0.854, 0.534, 0.250)  0.00
K (0.646, 0.034, 0.250)  0.00
Np (0.844, 0.827, 0.949)  3.04
Np (0.156, 0.173, 0.449)  3.04
Np (0.844, 0.827, 0.551)  3.04
Np (0.344, 0.673, 0.051)  3.04
Np (0.156, 0.173, 0.051)  3.04
Np (0.656, 0.327, 0.551)  3.04
Np (0.344, 0.673, 0.449)  3.04
Np (0.656, 0.327, 0.949)  3.04


Which one sits at the top of the stability order? arrangement 2 does.


Arrangement 1

Crystalline KNp2F7 at its relaxed geometry. Source: Alexandria, functional GGA-PBE.

Space-group type: R-3m, No. 166
DOS(E_F) (states/eV/cell): 15.38

Cell lengths 4.188, 4.188, 11.907 Å; angles 79.87, 79.87, 60.00 degrees
Each line ends with the local moment (μB).
Fractional coordinates of all 10 atoms:
K (0.500, 0.500, 0.500)  0.00
F (0.585, 0.585, 0.244)  -0.01
F (0.720, 0.720, 0.841)  -0.01
F (0.870, 0.870, 0.391)  -0.01
F (0.130, 0.130, 0.609)  -0.01
F (0.415, 0.415, 0.756)  -0.01
F (0.280, 0.280, 0.159)  -0.01
F (0.000, 0.000, 0.000)  -0.02
Np (0.066, 0.066, 0.802)  3.97
Np (0.934, 0.934, 0.198)  3.97


Arrangement 2

Crystalline KNp2F7 at its relaxed geometry. Source: Alexandria, functional GGA-PBE.

Space-group type: Cmmm, No. 65
DOS(E_F) (states/eV/cell): 21.02

Cell lengths 4.547, 7.027, 7.027 Å; angles 116.82, 90.00, 90.00 degrees
Each line ends with the local moment (μB).
Fractional coordinates of all 10 atoms:
F (0.500, 0.331, 0.046)  -0.01
F (0.500, 0.954, 0.669)  -0.01
F (0.000, 0.718, 0.282)  -0.02
F (0.500, 0.669, 0.954)  -0.01
F (0.500, 0.046, 0.331)  -0.01
F (0.000, 0.282, 0.718)  -0.02
F (0.500, 0.500, 0.500)  -0.02
Np (0.500, 0.308, 0.692)  3.95
Np (0.500, 0.692, 0.308)  3.95
K (0.000, 0.000, 0.000)  0.00


Which one sits at the top of the stability order? arrangement 1 does.